No. 1
A relaxed structure of Tm2PaTaC4, computed with PBE.

Values from the calculation:
Magnetic moment: 0.0000 μB per atom
E_form: -0.478 eV/atom
Space-group type: Imma (74)

Cell lengths 6.891, 6.891, 6.891 Å; angles 120.62, 119.46, 89.93 degrees
Sites, in units of the cell vectors:
Tm 0.000 0.000 0.000
Tm 0.500 0.000 0.000
Tm 0.500 0.000 0.500
Tm 0.500 0.500 0.500
Pa 0.000 0.500 0.500
Pa 0.500 0.500 0.000
Ta 0.000 0.000 0.500
Ta 0.000 0.500 0.000
C 0.225 0.747 0.478
C 0.230 0.253 0.978
C 0.233 0.242 0.509
C 0.233 0.724 0.991
C 0.767 0.276 0.009
C 0.767 0.758 0.491
C 0.770 0.747 0.022
C 0.775 0.253 0.522


No. 2
A relaxed structure of TmPa2TaC4, computed with PBE.

Values from the calculation:
Magnetic moment: 0.0000 μB per atom
E_form: -0.474 eV/atom
Space-group type: Imma (74)

Cell lengths 6.930, 6.930, 6.930 Å; angles 120.69, 119.42, 89.91 degrees
Sites, in units of the cell vectors:
Tm 0.000 0.000 0.000
Tm 0.500 0.000 0.500
Pa 0.000 0.500 0.500
Pa 0.500 0.000 0.000
Pa 0.500 0.500 0.000
Pa 0.500 0.500 0.500
Ta 0.000 0.000 0.500
Ta 0.000 0.500 0.000
C 0.230 0.750 0.480
C 0.231 0.250 0.980
C 0.238 0.245 0.506
C 0.238 0.732 0.994
C 0.762 0.268 0.006
C 0.762 0.755 0.494
C 0.769 0.750 0.020
C 0.770 0.250 0.520


No. 3
A relaxed structure of UPa2TaC4, computed with PBE.

Values from the calculation:
Magnetic moment: 0.0000 μB per atom
E_form: -0.444 eV/atom
Space-group type: P2/m (10)

Cell lengths 5.968, 3.413, 6.034 Å; angles 90.00, 109.04, 90.00 degrees
Sites, in units of the cell vectors:
U 0.000 0.000 0.000
Pa 0.000 0.500 0.500
Pa 0.500 0.000 0.500
Ta 0.500 0.500 0.000
C 0.259 0.500 0.220
C 0.268 0.000 0.777
C 0.732 0.000 0.223
C 0.741 0.500 0.780


No. 4
A relaxed structure of U2PaTaC4, computed with PBE.

Values from the calculation:
Magnetic moment: 0.1091 μB per atom
E_form: -0.354 eV/atom
Space-group type: P2/m (10)

Cell lengths 5.938, 3.386, 6.025 Å; angles 90.00, 109.22, 90.00 degrees
Sites, in units of the cell vectors:
U 0.000 0.000 0.000
U 0.000 0.500 0.500
Pa 0.500 0.000 0.500
Ta 0.500 0.500 0.000
C 0.258 0.500 0.221
C 0.264 0.000 0.772
C 0.736 0.000 0.228
C 0.742 0.500 0.779


No. 5
A relaxed structure of PaTa2VC4, computed with PBE.

Values from the calculation:
Magnetic moment: 0.0000 μB per atom
E_form: -0.429 eV/atom
Space-group type: Cmcm (63)

Cell lengths 5.835, 5.835, 11.000 Å; angles 90.00, 90.00, 147.88 degrees
Sites, in units of the cell vectors:
Pa 0.109 0.891 0.750
Pa 0.891 0.109 0.250
Ta 0.372 0.628 0.541
Ta 0.372 0.628 0.959
Ta 0.628 0.372 0.041
Ta 0.628 0.372 0.459
V 0.157 0.843 0.250
V 0.843 0.157 0.750
C 0.000 0.000 0.000
C 0.000 0.000 0.500
C 0.264 0.736 0.116
C 0.264 0.736 0.384
C 0.446 0.554 0.750
C 0.554 0.446 0.250
C 0.736 0.264 0.616
C 0.736 0.264 0.884


No. 6
A relaxed structure of PaTa2WC4, computed with PBE.

Values from the calculation:
Magnetic moment: 0.0000 μB per atom
E_form: -0.252 eV/atom
Space-group type: Cmcm (63)

Cell lengths 5.954, 5.954, 11.187 Å; angles 90.00, 90.00, 148.22 degrees
Sites, in units of the cell vectors:
Pa 0.117 0.883 0.750
Pa 0.883 0.117 0.250
Ta 0.372 0.628 0.535
Ta 0.372 0.628 0.965
Ta 0.628 0.372 0.035
Ta 0.628 0.372 0.465
W 0.148 0.852 0.250
W 0.852 0.148 0.750
C 0.000 0.000 0.000
C 0.000 0.000 0.500
C 0.263 0.737 0.114
C 0.263 0.737 0.386
C 0.460 0.540 0.750
C 0.540 0.460 0.250
C 0.737 0.263 0.614
C 0.737 0.263 0.886


No. 7
A relaxed structure of YPa2TaC4, computed with PBE.

Values from the calculation:
Magnetic moment: 0.0000 μB per atom
E_form: -0.434 eV/atom
Space-group type: Imma (74)

Cell lengths 6.965, 6.965, 6.965 Å; angles 120.63, 119.51, 89.88 degrees
Sites, in units of the cell vectors:
Y 0.000 0.000 0.000
Y 0.500 0.000 0.500
Pa 0.000 0.500 0.500
Pa 0.500 0.000 0.000
Pa 0.500 0.500 0.000
Pa 0.500 0.500 0.500
Ta 0.000 0.000 0.500
Ta 0.000 0.500 0.000
C 0.229 0.748 0.481
C 0.233 0.252 0.981
C 0.238 0.248 0.510
C 0.238 0.728 0.990
C 0.762 0.272 0.010
C 0.762 0.752 0.490
C 0.767 0.748 0.019
C 0.771 0.252 0.519


No. 8
A relaxed structure of ZrPaTaC3, computed with PBE.

Values from the calculation:
Magnetic moment: 0.0000 μB per atom
E_form: -0.599 eV/atom
Space-group type: P2_1/m (11)

Cell lengths 5.765, 3.358, 8.692 Å; angles 90.00, 102.63, 90.00 degrees
Sites, in units of the cell vectors:
Zr 0.231 0.250 0.451
Zr 0.769 0.750 0.549
Pa 0.352 0.750 0.807
Pa 0.648 0.250 0.193
Ta 0.132 0.750 0.137
Ta 0.868 0.250 0.863
C 0.049 0.250 0.666
C 0.248 0.250 0.010
C 0.441 0.750 0.328
C 0.559 0.250 0.672
C 0.752 0.750 0.990
C 0.951 0.750 0.334


No. 9
A relaxed structure of ZrPaTa2C4, computed with PBE.

Values from the calculation:
Magnetic moment: 0.0000 μB per atom
E_form: -0.627 eV/atom
Space-group type: P2/m (10)

Cell lengths 5.738, 3.276, 5.809 Å; angles 90.00, 109.02, 90.00 degrees
Sites, in units of the cell vectors:
Zr 0.000 0.000 0.000
Pa 0.500 0.500 0.000
Ta 0.000 0.500 0.500
Ta 0.500 0.000 0.500
C 0.238 0.000 0.725
C 0.254 0.500 0.268
C 0.746 0.500 0.732
C 0.762 0.000 0.275


No. 10
A relaxed structure of Tb4PaC4, computed with PBE.

Values from the calculation:
Magnetic moment: 0.1045 μB per atom
E_form: -0.289 eV/atom
Space-group type: C2/m (12)

Cell lengths 6.295, 6.295, 8.942 Å; angles 118.27, 118.27, 33.68 degrees
Sites, in units of the cell vectors:
Tb 0.110 0.110 0.389
Tb 0.295 0.295 0.190
Tb 0.705 0.705 0.810
Tb 0.890 0.890 0.611
Pa 0.500 0.500 0.000
C 0.092 0.092 0.907
C 0.305 0.305 0.707
C 0.695 0.695 0.293
C 0.908 0.908 0.093


No. 11
A relaxed structure of Tb5PaC4, computed with PBE.

Values from the calculation:
Magnetic moment: 0.0001 μB per atom
E_form: -0.286 eV/atom
Space-group type: C2/m (12)

Cell lengths 8.135, 8.135, 7.326 Å; angles 102.34, 102.34, 25.69 degrees
Sites, in units of the cell vectors:
Tb 0.000 0.000 0.000
Tb 0.333 0.333 0.649
Tb 0.340 0.340 0.190
Tb 0.660 0.660 0.810
Tb 0.667 0.667 0.351
Pa 0.000 0.000 0.500
C 0.162 0.162 0.581
C 0.498 0.498 0.261
C 0.502 0.502 0.739
C 0.838 0.838 0.419


No. 12
A relaxed structure of Tb3Pa4C8, computed with PBE.

Values from the calculation:
Magnetic moment: 0.0000 μB per atom
E_form: 0.025 eV/atom
Space-group type: C2/m (12)

Cell lengths 7.179, 7.179, 7.168 Å; angles 119.75, 119.75, 90.28 degrees
Sites, in units of the cell vectors:
Tb 0.000 0.000 0.000
Tb 0.000 0.500 0.000
Tb 0.500 0.000 0.000
Pa 0.000 0.000 0.500
Pa 0.000 0.500 0.500
Pa 0.500 0.000 0.500
Pa 0.500 0.500 0.000
C 0.229 0.229 0.942
C 0.229 0.771 0.500
C 0.243 0.243 0.518
C 0.258 0.742 0.000
C 0.742 0.258 0.000
C 0.757 0.757 0.482
C 0.771 0.229 0.500
C 0.771 0.771 0.058


No. 13
A relaxed structure of Tb2PaC3, computed with PBE.

Values from the calculation:
Magnetic moment: 0.0000 μB per atom
E_form: -0.082 eV/atom
Space-group type: Cmcm (63)

Cell lengths 7.219, 7.219, 5.116 Å; angles 90.00, 90.00, 60.32 degrees
Sites, in units of the cell vectors:
Tb 0.007 0.332 0.250
Tb 0.332 0.007 0.750
Tb 0.668 0.993 0.250
Tb 0.993 0.668 0.750
Pa 0.329 0.671 0.250
Pa 0.671 0.329 0.750
C 0.019 0.666 0.250
C 0.334 0.981 0.250
C 0.350 0.650 0.750
C 0.650 0.350 0.250
C 0.666 0.019 0.750
C 0.981 0.334 0.750


No. 14
A relaxed structure of TbPa2C3, computed with PBE.

Values from the calculation:
Magnetic moment: 0.0000 μB per atom
E_form: -0.411 eV/atom
Space-group type: Immm (71)

Cell lengths 6.246, 6.246, 6.246 Å; angles 146.18, 131.79, 60.18 degrees
Sites, in units of the cell vectors:
Tb 0.000 0.000 0.000
Pa 0.334 0.334 0.000
Pa 0.666 0.666 0.000
C 0.181 0.681 0.500
C 0.500 0.000 0.500
C 0.819 0.319 0.500


No. 15
A relaxed structure of Tb2PaC4, computed with PBE.

Values from the calculation:
Magnetic moment: 0.0000 μB per atom
E_form: 0.080 eV/atom
Space-group type: Cmmm (65)

Cell lengths 5.445, 5.445, 4.618 Å; angles 90.00, 90.00, 124.27 degrees
Sites, in units of the cell vectors:
Tb 0.174 0.826 0.000
Tb 0.826 0.174 0.000
Pa 0.500 0.500 0.500
C 0.070 0.930 0.500
C 0.423 0.577 0.000
C 0.577 0.423 0.000
C 0.930 0.070 0.500


No. 16
A relaxed structure of TbPa5C6, computed with PBE.

Values from the calculation:
Magnetic moment: 0.0000 μB per atom
E_form: -0.427 eV/atom
Space-group type: C2/m (12)

Cell lengths 6.245, 6.245, 6.250 Å; angles 99.57, 99.57, 120.05 degrees
Sites, in units of the cell vectors:
Tb 0.000 0.000 0.000
Pa 0.165 0.835 0.500
Pa 0.333 0.667 0.000
Pa 0.500 0.500 0.500
Pa 0.667 0.333 0.000
Pa 0.835 0.165 0.500
C 0.086 0.434 0.259
C 0.266 0.266 0.747
C 0.434 0.086 0.259
C 0.566 0.914 0.741
C 0.734 0.734 0.253
C 0.914 0.566 0.741


No. 17
A relaxed structure of TbPa2TcC4, computed with PBE.

Values from the calculation:
Magnetic moment: 0.0000 μB per atom
E_form: -0.154 eV/atom
Space-group type: Cmcm (63)

Cell lengths 6.186, 6.186, 11.853 Å; angles 90.00, 90.00, 146.19 degrees
Sites, in units of the cell vectors:
Tb 0.123 0.877 0.750
Tb 0.877 0.123 0.250
Pa 0.368 0.632 0.543
Pa 0.368 0.632 0.957
Pa 0.632 0.368 0.043
Pa 0.632 0.368 0.457
Tc 0.142 0.858 0.250
Tc 0.858 0.142 0.750
C 0.000 0.000 0.000
C 0.000 0.000 0.500
C 0.262 0.738 0.128
C 0.262 0.738 0.372
C 0.436 0.564 0.750
C 0.564 0.436 0.250
C 0.738 0.262 0.628
C 0.738 0.262 0.872


No. 18
A relaxed structure of Tb2PaTcC4, computed with PBE.

Values from the calculation:
Magnetic moment: 0.0000 μB per atom
E_form: -0.021 eV/atom
Space-group type: Cmcm (63)

Cell lengths 6.168, 6.168, 12.220 Å; angles 90.00, 90.00, 147.43 degrees
Sites, in units of the cell vectors:
Tb 0.131 0.869 0.541
Tb 0.131 0.869 0.959
Tb 0.869 0.131 0.041
Tb 0.869 0.131 0.459
Pa 0.407 0.593 0.750
Pa 0.593 0.407 0.250
Tc 0.334 0.666 0.250
Tc 0.666 0.334 0.750
C 0.061 0.939 0.750
C 0.226 0.774 0.136
C 0.226 0.774 0.364
C 0.500 0.500 0.000
C 0.500 0.500 0.500
C 0.774 0.226 0.636
C 0.774 0.226 0.864
C 0.939 0.061 0.250


No. 19
A relaxed structure of TbPaTeC, computed with PBE.

Values from the calculation:
Magnetic moment: 0.0000 μB per atom
Energy relative to the elements, uncorrected: -297.8 kJ/mol of formula units
Space-group type: R3m (160)

Cell lengths 7.462, 7.462, 7.462 Å; angles 29.54, 29.54, 29.54 degrees
Sites, in units of the cell vectors:
Tb 0.000 0.000 0.000
Pa 0.789 0.789 0.789
Te 0.228 0.228 0.228
C 0.404 0.404 0.404


No. 20
A relaxed structure of TbTh2PaC4, computed with PBE.

Values from the calculation:
Magnetic moment: 0.0000 μB per atom
E_form: -0.290 eV/atom
Space-group type: P2/m (10)

Cell lengths 6.379, 3.707, 6.406 Å; angles 90.00, 109.32, 90.00 degrees
Sites, in units of the cell vectors:
Tb 0.000 0.000 0.000
Th 0.000 0.500 0.500
Th 0.500 0.000 0.500
Pa 0.500 0.500 0.000
C 0.262 0.500 0.241
C 0.265 0.000 0.765
C 0.735 0.000 0.235
C 0.738 0.500 0.759


No. 21
A relaxed structure of Tb2ThPaC4, computed with PBE.

Values from the calculation:
Magnetic moment: 0.0000 μB per atom
E_form: -0.249 eV/atom
Space-group type: P2/m (10)

Cell lengths 6.273, 3.679, 6.341 Å; angles 90.00, 109.34, 90.00 degrees
Sites, in units of the cell vectors:
Tb 0.000 0.000 0.000
Tb 0.000 0.500 0.500
Th 0.500 0.000 0.500
Pa 0.500 0.500 0.000
C 0.263 0.500 0.240
C 0.269 0.000 0.767
C 0.731 0.000 0.233
C 0.737 0.500 0.760


It is found that the energy values, taken in the order of the records, are -8.876; -9.500; -10.322; -10.457; -10.331; -10.633; -9.710; -10.193; -10.457; -7.502; -7.241; -8.352; -7.820; -8.960; -7.870; -9.381; -9.014; -8.274; -7.394; -8.523; -8.133 eV/atom.
It is found that the Fermi-level density of states values, taken in the order of the records, are 0.15; 0.58; 0.63; 0.98; 0.49; 0.47; 0.60; 0.36; 0.30; 0.56; 0.65; 0.67; 0.83; 0.59; 0.84; 0.85; 0.53; 0.53; 0.28; 0.58; 0.95 states/eV/atom.